[1]
The following is a PBEsol calculation of a relaxed ZnNi2Cl crystal, from Alexandria.

a b c (Å): 3.067 3.067 5.936
angles (deg): 90.00 90.00 90.00
Space group P4mm (No. 99)
One atom of each set of equivalent atoms:
Zn: 0.000 0.000 0.000
Ni: 0.000 0.000 0.584
Ni: 0.500 0.500 0.810
Cl: 0.500 0.500 0.425

Properties
The energy relative to the lowest polymorph listed for this composition comes out at 0.0000 eV per atom. The value obtained for the mass density is 6.49 g/cm3. The value obtained for the raw formation energy is 0.06 eV/atom.

[2]
The following is a PBEsol calculation of a relaxed ZnNiCl2 crystal, from Alexandria.

a b c (Å): 6.346 6.346 6.346
angles (deg): 90.00 90.00 90.00
Space group F-43m (No. 216)
One atom of each set of equivalent atoms:
Zn: 0.000 0.000 0.000
Ni: 0.250 0.250 0.250
Cl: 0.000 0.000 0.500
Cl: 0.250 0.250 0.750

Properties
The energy relative to the lowest polymorph listed for this composition comes out at 0.6772 eV per atom. The value obtained for the mass density is 5.07 g/cm3. The value obtained for the raw formation energy is 0.40 eV/atom.

[3]
The following is a PBEsol calculation of a relaxed ZnNiCl2 crystal, from Alexandria.

a b c (Å): 3.269 3.797 12.248
angles (deg): 90.00 90.00 90.00
Space group Immm (No. 71)
One atom of each set of equivalent atoms:
Zn: 0.000 0.000 0.000
Ni: 0.000 0.000 0.500
Cl: 0.000 0.500 0.139

Properties
The energy relative to the lowest polymorph listed for this composition comes out at 0.0011 eV per atom. The value obtained for the mass density is 4.26 g/cm3. The value obtained for the raw formation energy is -0.27 eV/atom.

[4]
The following is a PBEsol calculation of a relaxed ZnNiCl2 crystal, from Alexandria.

a b c (Å): 3.048 3.484 13.836
angles (deg): 90.00 90.00 90.00
Space group Imm2 (No. 44)
One atom of each set of equivalent atoms:
Zn: 0.000 0.000 0.000
Ni: 0.000 0.500 0.358
Cl: 0.000 0.000 0.585
Cl: 0.000 0.500 0.825

Properties
The energy relative to the lowest polymorph listed for this composition comes out at 0.0800 eV per atom. The value obtained for the mass density is 4.41 g/cm3. The value obtained for the raw formation energy is -0.19 eV/atom.

[5]
The following is a PBEsol calculation of a relaxed ZnNi2Cl crystal, from Alexandria.

a b c (Å): 2.8545 2.8545 21.6028
angles (deg): 90.00 90.00 120.00
Space group R-3m (No. 166, hexagonal axes)
One atom of each set of equivalent atoms:
Zn: 0.0000 0.0000 0.0000
Ni: 0.0000 0.0000 0.2479
Cl: 0.0000 0.0000 0.5000

Properties
The energy relative to the lowest polymorph listed for this composition comes out at 0.0412 eV per atom. The value obtained for the mass density is 7.13 g/cm3. The value obtained for the raw formation energy is 0.10 eV/atom.

[6]
The following is a PBEsol calculation of a relaxed ZrNiCl3 crystal, from Alexandria.

a b c (Å): 4.930 4.930 4.930
angles (deg): 90.00 90.00 90.00
Space group Pm-3m (No. 221)
One atom of each set of equivalent atoms:
Zr: 0.000 0.000 0.000
Ni: 0.500 0.500 0.500
Cl: 0.000 0.000 0.500

Properties
The energy relative to the lowest polymorph listed for this composition comes out at 0.0000 eV per atom. The value obtained for the mass density is 3.55 g/cm3. The value obtained for the raw formation energy is -0.30 eV/atom.